! SmYTl2Zn2 PBE relaxed; values from VASP
&SYSTEM
  ibrav = 0, nat = 6, ntyp = 4
/
ATOMIC_SPECIES
Sm 150.36 Sm.upf
Tl 204.38 Tl.upf
Y 88.91 Y.upf
Zn 65.41 Zn.upf
CELL_PARAMETERS angstrom
4.709 0.000 0.000
-2.354 4.078 0.000
0.000 0.000 7.443
ATOMIC_POSITIONS angstrom
Sm 0.000 0.000 6.305
Tl 2.354 1.359 0.966
Tl 0.000 2.719 4.630
Y 0.000 0.000 2.587
Zn 0.000 2.719 0.360
Zn 2.354 1.359 4.035
! Spin magnetization   0.01 μB/cell
! Energy   -20.64 eV per cell